a:
## Ni2SCl (PBE)

Data for a geometry-optimized Ni2SCl structure.

The structure in POSCAR format:
```
Ni2SCl
1.0
5.346 0.000 0.000
0.000 5.346 0.000
2.673 2.673 4.790
Ni S Cl
4 2 2
Cartesian
3.808 1.336 1.198
1.538 4.009 1.198
4.009 4.211 3.593
6.682 6.481 3.593
2.673 2.673 0.000
2.673 5.346 2.395
0.000 0.000 0.000
5.346 2.673 2.395
```

Summary:
D(E_F)	3.3	states/eV/f.u.

=====

b:
## Ni2SCl (PBE)

Data for a geometry-optimized Ni2SCl structure.

The structure in POSCAR format:
```
Ni2SCl
1.0
3.675 0.000 0.000
1.838 3.183 0.000
1.838 1.061 5.857
Ni S Cl
2 1 1
Cartesian
1.838 1.061 3.642
5.513 3.183 2.215
3.675 2.122 2.928
0.000 0.000 0.000
```

Summary:
D(E_F)	4.4	states/eV/f.u.

=====

c:
## Ni2SCl (PBE)

Data for a geometry-optimized Ni2SCl structure.

The structure in POSCAR format:
```
Ni2SCl
1.0
0.000 2.993 2.993
2.993 0.000 2.993
2.993 2.993 0.000
Ni S Cl
2 1 1
Cartesian
1.497 1.497 1.497
4.490 4.490 4.490
0.000 0.000 0.000
2.993 2.993 2.993
```

Summary:
D(E_F)	6.7	states/eV/f.u.

=====

We find b to be the most stable, with the next structure 5.4 kJ/mol of atoms higher.

=====

a:
## NiSbSCl2 (PBE)

Data for a geometry-optimized NiSbSCl2 structure.

The structure in POSCAR format:
```
NiSbSCl2
1.0
-3.990 -2.102 -0.152
0.560 -1.372 4.262
-2.137 3.945 1.550
Sb S Cl Ni
1 1 2 1
Cartesian
-2.784 0.236 2.830
-1.068 1.972 0.775
0.280 -0.686 2.131
-1.995 -1.051 -0.076
0.000 0.000 0.000
```

Summary:
D(E_F)	2.5	states/eV/f.u.

=====

b:
## NiSbSCl2 (PBE)

Data for a geometry-optimized NiSbSCl2 structure.

The structure in POSCAR format:
```
NiSbSCl2
1.0
5.223 0.000 0.000
0.000 5.223 0.000
0.000 0.000 5.203
Sb S Cl Ni
1 1 2 1
Cartesian
0.000 0.000 0.000
0.000 0.000 2.602
0.000 2.611 0.000
2.611 0.000 0.000
2.611 2.611 2.602
```

Summary:
D(E_F)	7.0	states/eV/f.u.

=====

We find a to be the most stable, with the next structure 46.1 kJ/mol of atoms higher.

=====

a:
## ScNiSCl2 (PBE)

Data for a geometry-optimized ScNiSCl2 structure.

The structure in POSCAR format:
```
ScNiSCl2
1.0
4.893 0.000 0.000
0.000 4.893 0.000
0.000 0.000 5.041
Sc Ni S Cl
1 1 1 2
Cartesian
0.000 0.000 0.000
2.446 2.446 2.520
0.000 0.000 2.520
0.000 2.446 0.000
2.446 0.000 0.000
```

Summary:
D(E_F)	5.9	states/eV/f.u.

=====

b:
## ScNiSCl2 (PBE)

Data for a geometry-optimized ScNiSCl2 structure.

The structure in POSCAR format:
```
ScNiSCl2
1.0
4.463 0.000 0.000
0.000 4.463 0.000
0.000 0.000 4.744
Sc Ni S Cl
1 1 1 2
Cartesian
2.231 2.231 2.372
0.000 0.000 0.000
0.000 0.000 2.372
0.000 2.231 0.000
2.231 0.000 0.000
```

Summary:
D(E_F)	4.2	states/eV/f.u.

=====

We find a to be the most stable, with the next structure 2.5 kJ/mol of atoms higher.